TmTl3Cu2F9 | PBE | optimized geometry

abc: 6.072 6.072 7.574
angles: 90.00 90.00 120.00
Element x y z (fractional)
1 Cu 0.667 0.333 0.839
2 Cu 0.333 0.667 0.161
3 F 0.670 0.835 0.332
4 F 0.330 0.165 0.668
5 F 0.165 0.330 0.332
6 F 0.500 0.000 0.000
7 F 0.165 0.835 0.332
8 F 0.000 0.500 0.000
9 F 0.835 0.165 0.668
10 F 0.835 0.670 0.668
11 F 0.500 0.500 0.000
12 Tl 0.667 0.333 0.288
13 Tl 0.000 0.000 0.000
14 Tl 0.333 0.667 0.712
15 Tm 0.000 0.000 0.500

Raw total energy   -4.714 eV per atom
D(E_F)   0.244 states/eV per atom